# Ca2Ac3Pm2

An optimized crystal structure of Ca2Ac3Pm2 (PBE, Alexandria via LeMat-Bulk).

The space group is Cmmm (No. 65) and the conventional cell measures 3.8375, 39.5312 and 3.8129 Å, with angles of 90.00, 90.00 and 90.00 degrees. The asymmetric unit holds Ca at (0.0000, 0.0730, 0.0000), Ac at (0.0000, 0.3526, 0.5000), Ac at (0.0000, 0.5000, 0.5000) and Pm at (0.0000, 0.2123, 0.0000).



# Bi2AuSeCl

An optimized crystal structure of Bi2AuSeCl (PBE, Alexandria via LeMat-Bulk).

The space group is P4/mmm (No. 123) and the conventional cell measures 5.6687, 5.6687 and 4.8123 Å, with angles of 90.00, 90.00 and 90.00 degrees. The asymmetric unit holds Bi at (0.0000, 0.5000, 0.0000), Au at (0.0000, 0.0000, 0.5000), Se at (0.5000, 0.5000, 0.0000) and Cl at (0.5000, 0.5000, 0.5000).



# CaMg4In4

An optimized crystal structure of CaMg4In4 (PBE, Alexandria via LeMat-Bulk).

The space group is P4_2/nmc (No. 137, origin choice 2) and the conventional cell measures 6.8872, 6.8872 and 9.9990 Å, with angles of 90.00, 90.00 and 90.00 degrees. The asymmetric unit holds Ca at (0.2500, 0.7500, 0.2500), Mg at (0.0259, 0.2500, 0.1714) and In at (0.0232, 0.2500, 0.4651).



Number 1: E_tot -50.256 eV per cell. Number 2: E_tot -13.834 eV per cell. Number 3: E_tot -40.291 eV per cell.